A plane-wave DFT calculation with PBE was carried out for a relaxed structure of Pr7CdPb4.

Lattice parameters (Å, degrees): 15.100 5.908 11.497 90.00 125.61 90.00
Space group C2/m (No. 12)
Asymmetric unit:
Pr (0.000, 0.000, 0.000) x2
Pr (0.080, 0.500, 0.326) x4
Pr (0.153, 0.000, 0.573) x4
Pr (0.201, 0.500, 0.873) x4
Cd (0.000, 0.500, 0.000) x2
Pb (0.075, 0.000, 0.781) x4
Pb (0.216, 0.000, 0.333) x4

* formation energy: -255 meV per atom
* raw total energy: -4.36 eV/atom

A plane-wave DFT calculation with PBE was carried out for a relaxed structure of Pr7Cd4Pb.

Lattice parameters (Å, degrees): 15.092 6.074 9.558 90.00 120.06 90.00
Space group C2/m (No. 12)
Asymmetric unit:
Pr (0.000, 0.000, 0.000) x2
Pr (0.073, 0.500, 0.407) x4
Pr (0.180, 0.500, 0.880) x4
Pr (0.237, 0.000, 0.704) x4
Cd (0.023, 0.000, 0.677) x4
Cd (0.189, 0.000, 0.341) x4
Pb (0.000, 0.500, 0.000) x2

* formation energy: -173 meV per atom
* raw total energy: -3.57 eV/atom

A plane-wave DFT calculation with PBE was carried out for a relaxed structure of Pr2SmCd2Pb2.

Lattice parameters (Å, degrees): 5.1258 5.1258 27.4089 90.00 90.00 120.00
Space group R-3m (No. 166, hexagonal axes)
Asymmetric unit:
Pr (0.0000, 0.0000, 0.1321) x6
Sm (0.0000, 0.0000, 0.0000) x3
Cd (0.0000, 0.0000, 0.4227) x6
Pb (0.0000, 0.0000, 0.2729) x6

* formation energy: -218 meV per atom
* raw total energy: -3.58 eV/atom

A plane-wave DFT calculation with PBE was carried out for a relaxed structure of PrSmCdPb.

Lattice parameters (Å, degrees): 7.758 7.758 7.758 90.00 90.00 90.00
Space group F-43m (No. 216)
Asymmetric unit:
Pr (0.000, 0.000, 0.000) x4
Sm (0.000, 0.000, 0.500) x4
Cd (0.250, 0.250, 0.250) x4
Pb (0.250, 0.250, 0.750) x4

* formation energy: -432 meV per atom
* raw total energy: -3.96 eV/atom

A plane-wave DFT calculation with PBE was carried out for a relaxed structure of SrPrCdPb.

Lattice parameters (Å, degrees): 7.997 7.997 7.997 90.00 90.00 90.00
Space group F-43m (No. 216)
Asymmetric unit:
Sr (0.000, 0.000, 0.000) x4
Pr (0.000, 0.000, 0.500) x4
Cd (0.250, 0.250, 0.750) x4
Pb (0.250, 0.250, 0.250) x4

* formation energy: -409 meV per atom
* raw total energy: -3.18 eV/atom

A plane-wave DFT calculation with PBE was carried out for a relaxed structure of TbPrCdPb.

Lattice parameters (Å, degrees): 7.707 7.707 7.707 90.00 90.00 90.00
Space group F-43m (No. 216)
Asymmetric unit:
Tb (0.000, 0.000, 0.000) x4
Pr (0.000, 0.000, 0.500) x4
Cd (0.250, 0.250, 0.750) x4
Pb (0.250, 0.250, 0.250) x4

* formation energy: -414 meV per atom
* raw total energy: -3.92 eV/atom